Record 1
Below is a geometry-optimized Pm2Nd3Te5 structure, with properties calculated at the PBE level.

a = 8.358 Å, b = 8.358 Å, c = 11.443 Å
α = 124.31°, β = 124.31°, γ = 29.62°
Positions (direct):
1 Pm 0.153 0.153 0.247
2 Pm 0.847 0.847 0.753
3 Nd 0.000 0.000 0.500
4 Nd 0.380 0.380 0.130
5 Nd 0.620 0.620 0.870
6 Te 0.218 0.218 0.790
7 Te 0.386 0.386 0.577
8 Te 0.500 0.500 0.000
9 Te 0.614 0.614 0.423
10 Te 0.782 0.782 0.210

## Properties
- Space-group type: C2/m, No. 12
- Calculated volume: 320.96 Å³ per cell
- Uncorrected formation energy: -1288 kJ/mol of formula units
- Raw total energy: -0.19425 hartree per atom

Record 2
Below is a geometry-optimized Ac3Ir2Pb4 structure, with properties calculated at the PBE level.

a = 6.634 Å, b = 6.634 Å, c = 9.857 Å
α = 110.25°, β = 110.25°, γ = 41.89°
Positions (direct):
1 Ac 0.000 0.000 0.000
2 Ac 0.312 0.312 0.380
3 Ac 0.688 0.688 0.620
4 Ir 0.383 0.383 0.720
5 Ir 0.617 0.617 0.280
6 Pb 0.019 0.019 0.347
7 Pb 0.254 0.254 0.900
8 Pb 0.746 0.746 0.100
9 Pb 0.981 0.981 0.653

## Properties
- Space-group type: C2/m, No. 12
- DFT formation energy: -0.402 eV per atom
- Calculated volume: 269.05 Å³ per cell
- Raw total energy: -0.19805 hartree per atom

Record 3
Below is a geometry-optimized Ac4Ge2Au structure, with properties calculated at the PBE level.

a = 8.839 Å, b = 8.839 Å, c = 8.839 Å
α = 117.66°, β = 107.18°, γ = 103.91°
Positions (direct):
1 Ac 0.211 0.257 0.546
2 Ac 0.211 0.665 0.954
3 Ac 0.265 0.216 0.049
4 Ac 0.333 0.784 0.549
5 Ac 0.667 0.216 0.451
6 Ac 0.735 0.784 0.951
7 Ac 0.789 0.335 0.046
8 Ac 0.789 0.743 0.454
9 Ge 0.000 0.500 0.500
10 Ge 0.500 0.000 0.000
11 Ge 0.500 0.500 0.000
12 Ge 0.500 0.500 0.500
13 Au 0.050 0.800 0.250
14 Au 0.950 0.200 0.750

## Properties
- Space-group type: Imma, No. 74
- DFT formation energy: -0.556 eV per atom
- Calculated volume: 523.04 Å³ per cell
- Raw total energy: -0.17238 hartree per atom

Record 4
Below is a geometry-optimized LaYIn4 structure, with properties calculated at the PBE level.

a = 6.091 Å, b = 6.091 Å, c = 6.091 Å
α = 60.00°, β = 60.00°, γ = 60.00°
Positions (direct):
1 La 0.000 0.000 0.000
2 Y 0.750 0.750 0.750
3 In 0.375 0.375 0.375
4 In 0.375 0.375 0.875
5 In 0.375 0.875 0.375
6 In 0.875 0.375 0.375

## Properties
- Space-group type: F-43m, No. 216
- DFT formation energy: -0.411 eV per atom
- Calculated volume: 159.76 Å³ per cell
- Raw total energy: -0.15198 hartree per atom

Record 5
Below is a geometry-optimized KAg2Cl5 structure, with properties calculated at the PBE level.

a = 9.891 Å, b = 9.891 Å, c = 9.891 Å
α = 150.87°, β = 150.87°, γ = 41.66°
Positions (direct):
1 K 0.000 0.000 0.000
2 Ag 0.357 0.357 0.000
3 Ag 0.643 0.643 0.000
4 Cl 0.141 0.641 0.500
5 Cl 0.359 0.859 0.500
6 Cl 0.500 0.500 0.000
7 Cl 0.641 0.141 0.500
8 Cl 0.859 0.359 0.500

## Properties
- Space-group type: I4/mmm, No. 139
- Calculated volume: 228.78 Å³ per cell
- Uncorrected formation energy: -545 kJ/mol of formula units
- Raw total energy: -0.09961 hartree per atom

Record 6
Below is a geometry-optimized GaB2As structure, with properties calculated at the PBE level.

a = 4.479 Å, b = 4.945 Å, c = 5.878 Å
α = 80.68°, β = 81.06°, γ = 81.81°
Positions (direct):
1 Ga 0.000 0.000 0.000
2 Ga 0.406 0.959 0.548
3 B 0.272 0.260 0.115
4 B 0.476 0.959 0.180
5 B 0.711 0.683 0.130
6 B 0.958 0.429 0.237
7 As 0.506 0.550 0.875
8 As 0.837 0.242 0.588

## Properties
- Space-group type: P1, No. 1
- DFT formation energy: 0.319 eV per atom
- Calculated volume: 125.99 Å³ per cell
- Raw total energy: -0.18150 hartree per atom